OsPdRh2 after structural relaxation. Source: Alexandria via LeMat-Bulk, functional PBE.

a b c (Å): 6.1924 6.1924 6.1924
angles (deg): 90.00 90.00 90.00
Sites, in units of the cell vectors:
Os (0.0000, 0.0000, 0.0000)
Os (0.0000, 0.5000, 0.5000)
Os (0.5000, 0.0000, 0.5000)
Os (0.5000, 0.5000, 0.0000)
Pd (0.0000, 0.0000, 0.5000)
Pd (0.0000, 0.5000, 0.0000)
Pd (0.5000, 0.0000, 0.0000)
Pd (0.5000, 0.5000, 0.5000)
Rh (0.2500, 0.2500, 0.2500)
Rh (0.2500, 0.2500, 0.7500)
Rh (0.2500, 0.7500, 0.2500)
Rh (0.2500, 0.7500, 0.7500)
Rh (0.7500, 0.2500, 0.2500)
Rh (0.7500, 0.2500, 0.7500)
Rh (0.7500, 0.7500, 0.2500)
Rh (0.7500, 0.7500, 0.7500)

E above lowest polymorph = 407 meV per atom
calculated formation energy = 423 meV per atom
space group = Fm-3m, No. 225

La2SnS5 after structural relaxation. Source: Alexandria via LeMat-Bulk, functional PBE.

a b c (Å): 7.9412 11.3652 4.0450
angles (deg): 90.00 90.00 90.00
Sites, in units of the cell vectors:
La (0.0742, 0.1687, 0.0000)
La (0.4258, 0.6687, 0.0000)
La (0.5742, 0.3313, 0.0000)
La (0.9258, 0.8313, 0.0000)
Sn (0.0000, 0.5000, 0.5000)
Sn (0.5000, 0.0000, 0.5000)
S (0.0000, 0.0000, 0.5000)
S (0.1441, 0.7034, 0.5000)
S (0.1901, 0.4309, 0.0000)
S (0.3099, 0.9309, 0.0000)
S (0.3559, 0.2034, 0.5000)
S (0.5000, 0.5000, 0.5000)
S (0.6441, 0.7966, 0.5000)
S (0.6901, 0.0691, 0.0000)
S (0.8099, 0.5691, 0.0000)
S (0.8559, 0.2966, 0.5000)

E above lowest polymorph = 0 meV per atom
formation energy without anion corrections = -148.0 kJ/mol of atoms
space group = Pbam, No. 55

BAs3Br after structural relaxation. Source: Alexandria via LeMat-Bulk, functional PBE.

a b c (Å): 5.1044 5.1044 5.1044
angles (deg): 90.00 90.00 90.00
Sites, in units of the cell vectors:
B (0.0000, 0.0000, 0.0000)
As (0.0000, 0.5000, 0.5000)
As (0.5000, 0.0000, 0.5000)
As (0.5000, 0.5000, 0.0000)
Br (0.5000, 0.5000, 0.5000)

E above lowest polymorph = 1197 meV per atom
formation energy without anion corrections = 199.8 kJ/mol of atoms
space group = Pm-3m, No. 221

Tb6Tm8Al after structural relaxation. Source: Alexandria via LeMat-Bulk, functional PBE.

a b c (Å): 9.0422 9.0422 6.6829
angles (deg): 90.00 90.00 120.00
Sites, in units of the cell vectors:
Tb (0.0728, 0.6832, 0.1050)
Tb (0.3168, 0.3895, 0.1050)
Tb (0.3895, 0.0728, 0.8950)
Tb (0.6105, 0.9272, 0.1050)
Tb (0.6832, 0.6105, 0.8950)
Tb (0.9272, 0.3168, 0.8950)
Tm (0.0147, 0.3256, 0.3869)
Tm (0.3109, 0.9853, 0.3869)
Tm (0.3256, 0.3109, 0.6131)
Tm (0.3333, 0.6667, 0.6893)
Tm (0.6667, 0.3333, 0.3107)
Tm (0.6744, 0.6891, 0.3869)
Tm (0.6891, 0.0147, 0.6131)
Tm (0.9853, 0.6744, 0.6131)
Al (0.0000, 0.0000, 0.0000)

calculated formation energy = 243 meV per atom
space group = P-3, No. 147

Number 1: total moment 8.30 Bohr magnetons per cell, Fermi-level density of states 15.40 states/eV per cell. Number 2: total moment 0.00 Bohr magnetons per cell, Fermi-level density of states 1.32 states/eV per cell. Number 3: total moment 0.00 Bohr magnetons per cell, Fermi-level density of states 8.32 states/eV per cell. Number 4: total moment 0.00 Bohr magnetons per cell, Fermi-level density of states 21.40 states/eV per cell.